1.
## La6PmNd2Mg (GGA-PBE)

Data for a relaxed structure of La6PmNd2Mg.

Lattice parameters (Å, degrees): 8.773 8.773 9.589 95.65 95.65 104.66
Sites, in units of the cell vectors:
La  0.043  0.466  0.673
La  0.065  0.824  0.901
La  0.176  0.935  0.599
La  0.239  0.580  0.081
La  0.420  0.761  0.419
La  0.466  0.043  0.173
La  0.534  0.957  0.827
La  0.580  0.239  0.581
La  0.761  0.420  0.919
La  0.824  0.065  0.401
La  0.935  0.176  0.099
La  0.957  0.534  0.327
Pm  0.430  0.570  0.750
Pm  0.570  0.430  0.250
Nd  0.235  0.300  0.406
Nd  0.300  0.235  0.906
Nd  0.700  0.765  0.094
Nd  0.765  0.700  0.594
Mg  0.098  0.902  0.250
Mg  0.902  0.098  0.750

## Properties
symmetry: No. 15
E_form: 80.9 meV/atom

=====

2.
## TbSb5 (GGA-PBE)

Data for a relaxed structure of TbSb5.

Lattice parameters (Å, degrees): 8.631 8.631 4.455 90.00 90.00 149.64
Sites, in units of the cell vectors:
Tb  0.000  0.000  0.000
Sb  0.153  0.847  0.500
Sb  0.343  0.657  0.000
Sb  0.500  0.500  0.500
Sb  0.657  0.343  0.000
Sb  0.847  0.153  0.500

## Properties
symmetry: No. 65
energy relative to the elements, uncorrected: -0.221 eV/atom

=====

3.
## CsTaBe (GGA-PBE)

Data for a relaxed structure of CsTaBe.

Lattice parameters (Å, degrees): 8.915 3.643 12.131 90.00 90.00 90.00
Sites, in units of the cell vectors:
Cs  0.038  0.250  0.175
Cs  0.462  0.750  0.675
Cs  0.538  0.250  0.325
Cs  0.962  0.750  0.825
Ta  0.088  0.250  0.541
Ta  0.412  0.750  0.041
Ta  0.588  0.250  0.959
Ta  0.912  0.750  0.459
Be  0.177  0.750  0.418
Be  0.323  0.250  0.918
Be  0.677  0.750  0.082
Be  0.823  0.250  0.582

## Properties
symmetry: No. 62
offset from the most stable computed form: 627 meV/atom
E_form: 1100.3 meV/atom

=====

4.
## InHg4Pd7 (GGA-PBE)

Data for a relaxed structure of InHg4Pd7.

Lattice parameters (Å, degrees): 5.825 5.825 10.169 117.53 117.53 51.25
Sites, in units of the cell vectors:
In  0.000  0.000  0.000
Hg  0.265  0.265  0.686
Hg  0.412  0.412  0.231
Hg  0.588  0.588  0.769
Hg  0.735  0.735  0.314
Pd  0.037  0.037  0.378
Pd  0.202  0.202  0.921
Pd  0.344  0.344  0.464
Pd  0.500  0.500  0.000
Pd  0.656  0.656  0.536
Pd  0.798  0.798  0.079
Pd  0.963  0.963  0.622

## Properties
symmetry: No. 12
E_form: -67.6 meV/atom

=====

Computed calculated volume (Å³ per atom) in order:
35.24 27.96 32.83 19.25
Computed VASP energy (eV/atom) in order:
-4.464 -4.428 -4.377 -3.426